No. 1
UTcP2 after structural relaxation. Source: the Alexandria database, functional PBE.

Results
energy of formation from the pure elements: -660.5 meV per atom
crystal system: orthorhombic
E: -8.78 eV per atom
relative energy among the computed polymorphs: 0.072 eV per atom
D(E_F): 19.60 states/eV/cell

POSCAR file:
```
UTcP2
1.0
-3.036 -1.649 2.501
4.165 -4.485 2.101
2.815 6.098 7.437
P Tc U
8 4 4
direct
0.750 0.679 0.001 P
0.750 0.463 0.666 P
0.250 0.537 0.334 P
0.250 0.821 0.501 P
0.250 0.037 0.166 P
0.750 0.963 0.834 P
0.250 0.321 0.999 P
0.750 0.179 0.499 P
0.750 0.333 0.890 Tc
0.750 0.833 0.610 Tc
0.250 0.667 0.110 Tc
0.250 0.167 0.390 Tc
0.250 0.675 0.794 U
0.250 0.175 0.706 U
0.750 0.325 0.206 U
0.750 0.825 0.294 U
```

No. 2
U2Tc5P3 after structural relaxation. Source: the Alexandria database, functional PBE.

Results
energy of formation from the pure elements: -511.8 meV per atom
crystal system: orthorhombic
E: -9.58 eV per atom
D(E_F): 18.63 states/eV/cell

POSCAR file:
```
U2Tc5P3
1.0
-3.191 1.060 2.302
3.402 -1.189 5.262
5.437 10.842 -1.065
Tc P U
10 6 4
direct
0.945 0.096 0.890 Tc
0.872 0.736 0.743 Tc
0.705 0.011 0.410 Tc
0.128 0.236 0.257 Tc
0.295 0.511 0.590 Tc
0.292 0.929 0.584 Tc
0.055 0.596 0.110 Tc
0.708 0.429 0.416 Tc
0.399 0.399 0.799 Tc
0.601 0.899 0.201 Tc
0.772 0.722 0.544 P
0.050 0.981 0.100 P
0.950 0.481 0.900 P
0.390 0.995 0.779 P
0.610 0.495 0.221 P
0.228 0.222 0.456 P
0.826 0.243 0.651 U
0.485 0.755 0.971 U
0.174 0.743 0.349 U
0.515 0.255 0.029 U
```

No. 3
UTcP2 after structural relaxation. Source: the Alexandria database, functional PBE.

Results
energy of formation from the pure elements: -369.8 meV per atom
crystal system: tetragonal
E: -8.49 eV per atom
relative energy among the computed polymorphs: 0.362 eV per atom
D(E_F): 6.25 states/eV/cell

POSCAR file:
```
UTcP2
1.0
3.036 0.000 0.000
0.000 3.036 0.000
0.000 0.000 6.800
U P Tc
1 2 1
direct
0.500 0.500 0.500 U
0.000 0.000 0.207 P
0.000 0.000 0.793 P
0.500 0.500 0.000 Tc
```

No. 4
UTcP after structural relaxation. Source: the Alexandria database, functional PBE.

Results
energy of formation from the pure elements: -653.0 meV per atom
crystal system: hexagonal
E: -9.67 eV per atom
relative energy among the computed polymorphs: 0.000 eV per atom
D(E_F): 14.97 states/eV/cell

POSCAR file:
```
UTcP
1.0
-1.145 -1.123 -3.618
6.348 -1.367 -1.585
-3.867 -4.739 2.695
Tc P U
3 3 3
direct
0.000 0.754 0.754 Tc
0.000 0.000 0.246 Tc
0.000 0.246 0.000 Tc
0.000 0.333 0.667 P
0.000 0.667 0.333 P
0.500 0.000 0.000 P
0.500 0.426 0.426 U
0.500 0.000 0.574 U
0.500 0.574 0.000 U
```

No. 5
UTc3P after structural relaxation. Source: the Alexandria database, functional PBE.

Results
energy of formation from the pure elements: -206.6 meV per atom
crystal system: orthorhombic
E: -9.77 eV per atom
relative energy among the computed polymorphs: 0.000 eV per atom
D(E_F): 4.66 states/eV/cell

POSCAR file:
```
UTc3P
1.0
-1.238 4.123 -0.258
-3.739 -0.980 2.267
2.971 1.091 3.172
U Tc P
1 3 1
direct
0.997 0.039 0.039 U
0.497 0.977 0.590 Tc
0.497 0.590 0.977 Tc
0.997 0.556 0.556 Tc
0.497 0.401 0.401 P
```

No. 6
U3Tc4P4 after structural relaxation. Source: the Alexandria database, functional PBE.

Results
energy of formation from the pure elements: -724.1 meV per atom
crystal system: orthorhombic
E: -9.54 eV per atom
relative energy among the computed polymorphs: 0.000 eV per atom
D(E_F): 18.20 states/eV/cell

POSCAR file:
```
U3Tc4P4
1.0
-1.308 -1.053 3.507
1.623 -6.847 -1.450
5.751 4.829 1.438
U P Tc
3 4 4
direct
0.097 0.097 0.195 U
0.903 0.903 0.805 U
0.000 0.500 0.000 U
0.774 0.274 0.547 P
0.500 0.223 0.000 P
0.500 0.777 0.000 P
0.226 0.726 0.453 P
0.679 0.482 0.357 Tc
0.321 0.125 0.643 Tc
0.321 0.518 0.643 Tc
0.679 0.875 0.357 Tc
```

No. 7
UTcP2 after structural relaxation. Source: the Alexandria database, functional PBE.

Results
energy of formation from the pure elements: -465.9 meV per atom
crystal system: tetragonal
E: -8.58 eV per atom
relative energy among the computed polymorphs: 0.266 eV per atom
D(E_F): 5.27 states/eV/cell

POSCAR file:
```
UTcP2
1.0
3.336 0.001 0.000
-0.001 3.336 -0.002
-1.668 -1.667 6.464
P U Tc
2 1 1
direct
0.594 0.254 0.974 P
0.848 0.509 0.482 P
0.221 0.881 0.228 U
0.471 0.631 0.728 Tc
```

No. 8
UTc3P after structural relaxation. Source: the Alexandria database, functional PBE.

Results
energy of formation from the pure elements: 249.3 meV per atom
crystal system: tetragonal
E: -9.31 eV per atom
relative energy among the computed polymorphs: 0.456 eV per atom
D(E_F): 13.05 states/eV/cell

POSCAR file:
```
UTc3P
1.0
4.904 0.000 0.000
0.000 4.904 0.000
-2.452 -2.452 8.115
Tc U P
6 2 2
direct
0.283 0.283 0.565 Tc
0.123 0.380 0.247 Tc
0.717 0.717 0.435 Tc
0.620 0.877 0.753 Tc
0.123 0.867 0.247 Tc
0.133 0.877 0.753 Tc
0.628 0.128 0.256 U
0.872 0.372 0.744 U
0.000 0.000 0.000 P
0.250 0.750 0.500 P
```

No. 9
UTc5P2 after structural relaxation. Source: the Alexandria database, functional PBE.

Results
energy of formation from the pure elements: -303.4 meV per atom
crystal system: orthorhombic
E: -9.55 eV per atom
D(E_F): 7.35 states/eV/cell

POSCAR file:
```
UTc5P2
1.0
3.014 0.000 0.723
1.106 6.218 2.023
0.005 0.519 6.611
Tc P U
5 2 1
direct
0.641 0.573 0.145 Tc
0.000 0.500 0.500 Tc
0.641 0.145 0.573 Tc
0.359 0.855 0.427 Tc
0.359 0.427 0.855 Tc
0.752 0.748 0.748 P
0.248 0.252 0.252 P
0.000 0.000 0.000 U
```

No. 10
UTc5P6 after structural relaxation. Source: the Alexandria database, functional PBE.

Results
energy of formation from the pure elements: -383.8 meV per atom
crystal system: monoclinic
E: -8.35 eV per atom
D(E_F): 12.68 states/eV/cell

POSCAR file:
```
UTc5P6
1.0
-1.340 0.819 6.295
2.708 -3.318 3.151
5.477 2.078 1.967
P Tc U
6 5 1
direct
0.705 0.085 0.377 P
0.213 0.333 0.000 P
0.787 0.667 0.000 P
0.295 0.915 0.623 P
0.705 0.462 0.623 P
0.295 0.538 0.377 P
0.500 0.126 0.748 Tc
0.500 0.874 0.252 Tc
0.000 0.312 0.376 Tc
0.500 0.500 0.000 Tc
0.000 0.688 0.624 Tc
0.000 0.000 0.000 U
```

No. 11
UTc3P2 after structural relaxation. Source: the Alexandria database, functional PBE.

Results
energy of formation from the pure elements: -545.8 meV per atom
crystal system: monoclinic
E: -9.41 eV per atom
D(E_F): 21.40 states/eV/cell

POSCAR file:
```
UTc3P2
1.0
-0.508 -3.646 1.304
7.228 2.250 3.257
-6.970 3.028 5.756
Tc P U
9 6 3
direct
0.319 0.637 0.034 Tc
0.615 0.229 0.187 Tc
0.681 0.363 0.966 Tc
0.959 0.918 0.661 Tc
0.041 0.082 0.339 Tc
0.216 0.432 0.385 Tc
0.500 0.000 0.500 Tc
0.385 0.771 0.813 Tc
0.784 0.568 0.615 Tc
0.640 0.280 0.453 P
0.360 0.720 0.547 P
0.802 0.604 0.871 P
0.542 0.084 0.784 P
0.198 0.396 0.129 P
0.458 0.916 0.216 P
0.156 0.312 0.697 U
0.844 0.688 0.303 U
0.000 0.000 0.000 U
```

No. 12
UTcP2 after structural relaxation. Source: the Alexandria database, functional PBE.

Results
energy of formation from the pure elements: -526.5 meV per atom
crystal system: trigonal
E: -8.64 eV per atom
relative energy among the computed polymorphs: 0.206 eV per atom
D(E_F): 7.77 states/eV/cell

POSCAR file:
```
UTcP2
1.0
-2.981 -1.889 -0.991
-2.094 -1.592 2.553
-5.075 3.959 0.937
Tc P U
1 2 1
direct
0.495 0.495 0.516 Tc
0.101 0.101 0.698 P
0.234 0.234 0.297 P
0.670 0.670 0.989 U
```

No. 13
U3Tc4P4 after structural relaxation. Source: the Alexandria database, functional PBE.

Results
energy of formation from the pure elements: -605.5 meV per atom
crystal system: orthorhombic
E: -9.42 eV per atom
relative energy among the computed polymorphs: 0.119 eV per atom
D(E_F): 13.99 states/eV/cell

POSCAR file:
```
U3Tc4P4
1.0
4.111 0.000 0.000
-2.056 5.463 0.000
0.000 0.000 8.320
P U Tc
4 3 4
direct
0.967 0.935 0.000 P
0.704 0.409 0.763 P
0.992 0.985 0.500 P
0.704 0.409 0.237 P
0.392 0.784 0.716 U
0.276 0.552 0.000 U
0.392 0.784 0.284 U
0.094 0.188 0.751 Tc
0.572 0.144 0.000 Tc
0.610 0.220 0.500 Tc
0.094 0.188 0.249 Tc
```

No. 14
UVTcP2 after structural relaxation. Source: the Alexandria database, functional PBE.

Results
energy of formation from the pure elements: -678.8 meV per atom
crystal system: tetragonal
E: -9.00 eV per atom
D(E_F): 5.94 states/eV/cell

POSCAR file:
```
UVTcP2
1.0
4.012 0.000 0.000
0.000 4.012 0.000
-2.006 -2.006 4.910
U V P Tc
1 1 2 1
direct
0.000 0.000 0.000 U
0.750 0.250 0.500 V
0.381 0.381 0.763 P
0.619 0.619 0.237 P
0.250 0.750 0.500 Tc
```

No. 15
V12TcP6 after structural relaxation. Source: the Alexandria database, functional PBE.

Results
energy of formation from the pure elements: -392.3 meV per atom
crystal system: trigonal
E: -8.41 eV per atom
D(E_F): 19.00 states/eV/cell

POSCAR file:
```
V12TcP6
1.0
-2.245 4.565 4.867
-1.413 -6.556 2.140
6.953 0.723 -0.829
V P Tc
12 6 1
direct
0.854 0.648 0.588 V
0.878 0.324 0.037 V
0.588 0.854 0.648 V
0.146 0.352 0.412 V
0.676 0.963 0.122 V
0.122 0.676 0.963 V
0.324 0.037 0.878 V
0.412 0.146 0.352 V
0.963 0.122 0.676 V
0.648 0.588 0.854 V
0.037 0.878 0.324 V
0.352 0.412 0.146 V
0.690 0.770 0.334 P
0.666 0.310 0.230 P
0.334 0.690 0.770 P
0.230 0.666 0.310 P
0.310 0.230 0.666 P
0.770 0.334 0.690 P
0.000 0.000 0.000 Tc
```

No. 16
VTc2P2 after structural relaxation. Source: the Alexandria database, functional PBE.

Results
energy of formation from the pure elements: -314.7 meV per atom
crystal system: tetragonal
E: -8.45 eV per atom
D(E_F): 9.92 states/eV/cell

POSCAR file:
```
VTc2P2
1.0
6.799 0.000 0.000
0.000 6.799 0.000
0.000 0.000 2.889
P Tc V
4 4 2
direct
0.156 0.344 0.000 P
0.656 0.156 0.000 P
0.844 0.656 0.000 P
0.344 0.844 0.000 P
0.146 0.646 0.500 Tc
0.646 0.854 0.500 Tc
0.354 0.146 0.500 Tc
0.854 0.354 0.500 Tc
0.000 0.000 0.000 V
0.500 0.500 0.000 V
```

No. 17
Tc3PW after structural relaxation. Source: the Alexandria database, functional PBE.

Results
energy of formation from the pure elements: -216.1 meV per atom
crystal system: orthorhombic
E: -10.11 eV per atom
relative energy among the computed polymorphs: 0.000 eV per atom
D(E_F): 14.37 states/eV/cell

POSCAR file:
```
Tc3PW
1.0
4.718 0.000 0.000
0.000 7.574 -2.866
0.000 -0.168 8.096
Tc W P
12 4 4
direct
0.500 0.644 0.644 Tc
0.060 0.805 0.195 Tc
0.940 0.195 0.805 Tc
0.560 0.695 0.305 Tc
0.000 0.144 0.144 Tc
0.750 0.068 0.432 Tc
0.750 0.568 0.932 Tc
0.250 0.432 0.068 Tc
0.500 0.356 0.356 Tc
0.000 0.856 0.856 Tc
0.440 0.305 0.695 Tc
0.250 0.932 0.568 Tc
0.954 0.404 0.596 W
0.454 0.096 0.904 W
0.046 0.596 0.404 W
0.546 0.904 0.096 W
0.750 0.890 0.610 P
0.250 0.610 0.890 P
0.250 0.110 0.390 P
0.750 0.390 0.110 P
```

No. 18
TcPW3 after structural relaxation. Source: the Alexandria database, functional PBE.

Results
energy of formation from the pure elements: 2171.8 meV per atom
crystal system: cubic
E: -8.76 eV per atom
D(E_F): 6.20 states/eV/cell

POSCAR file:
```
TcPW3
1.0
-1.897 -0.935 4.207
-0.965 -4.388 -1.411
4.200 -1.431 1.576
Tc W P
1 3 1
direct
0.000 0.000 0.000 Tc
0.000 0.500 0.000 W
0.500 0.000 0.000 W
0.000 0.000 0.500 W
0.500 0.500 0.500 P
```

No. 19
TcP2W2 after structural relaxation. Source: the Alexandria database, functional PBE.

Results
energy of formation from the pure elements: 211.2 meV per atom
crystal system: tetragonal
E: -9.21 eV per atom
relative energy among the computed polymorphs: 0.257 eV per atom
D(E_F): 2.31 states/eV/cell

POSCAR file:
```
TcP2W2
1.0
-2.364 1.796 -3.009
-0.096 -3.662 -2.110
-4.871 -2.088 -0.389
P Tc W
2 1 2
direct
0.379 0.379 0.243 P
0.621 0.621 0.757 P
0.000 0.000 0.000 Tc
0.750 0.250 0.500 W
0.250 0.750 0.500 W
```

No. 20
TcP2W2 after structural relaxation. Source: the Alexandria database, functional PBE.

Results
energy of formation from the pure elements: -45.5 meV per atom
crystal system: tetragonal
E: -9.46 eV per atom
relative energy among the computed polymorphs: 0.000 eV per atom
D(E_F): 8.62 states/eV/cell

POSCAR file:
```
TcP2W2
1.0
-0.463 -2.487 -6.205
3.303 -5.493 1.955
-2.733 -1.375 0.755
W P Tc
4 4 2
direct
0.143 0.643 0.500 W
0.857 0.357 0.500 W
0.643 0.857 0.500 W
0.357 0.143 0.500 W
0.156 0.344 0.000 P
0.344 0.844 0.000 P
0.656 0.156 0.000 P
0.844 0.656 0.000 P
0.500 0.500 0.000 Tc
0.000 0.000 0.000 Tc
```

No. 21
Tc3PW after structural relaxation. Source: the Alexandria database, functional PBE.

Results
energy of formation from the pure elements: 2017.5 meV per atom
crystal system: cubic
E: -7.87 eV per atom
relative energy among the computed polymorphs: 2.234 eV per atom
D(E_F): 6.79 states/eV/cell

POSCAR file:
```
Tc3PW
1.0
4.706 0.000 0.000
0.000 4.706 0.000
0.000 0.000 4.706
Tc W P
3 1 1
direct
0.000 0.000 0.500 Tc
0.500 0.000 0.000 Tc
0.000 0.500 0.000 Tc
0.000 0.000 0.000 W
0.500 0.500 0.500 P
```

No. 22
TcPW4 after structural relaxation. Source: the Alexandria database, functional PBE.

Results
energy of formation from the pure elements: 839.2 meV per atom
crystal system: cubic
E: -10.43 eV per atom
D(E_F): 6.48 states/eV/cell

POSCAR file:
```
TcPW4
1.0
0.000 3.695 3.695
3.695 0.000 3.695
3.695 3.695 0.000
W Tc P
4 1 1
direct
0.376 0.376 0.376 W
0.376 0.873 0.376 W
0.376 0.376 0.873 W
0.873 0.376 0.376 W
0.000 0.000 0.000 Tc
0.750 0.750 0.750 P
```